A | # PmY2Er

A relaxed PmY2Er crystal (PBE-GGA, Alexandria via LeMat-Bulk).

Lattice parameters (Å, degrees): 3.601 3.599 11.738 81.25 90.00 59.98
Element x y z (fractional)
Pm1 0.897 0.347 0.873
Y1 0.064 0.012 0.375
Y2 0.648 0.845 0.126
Er1 0.481 0.179 0.622

Computed properties:
Its calculated density is 6.28 Mg/m³. As for the space group: No. 8.



B | # PmY2Er

A relaxed PmY2Er crystal (PBE-GGA, Alexandria via LeMat-Bulk).

Lattice parameters (Å, degrees): 4.173 4.173 7.515 90.00 90.00 90.00
Element x y z (fractional)
Y1 0.000 0.000 0.756
Y2 0.000 0.000 0.244
Pm1 0.500 0.500 0.500
Er1 0.500 0.500 0.000

Computed properties:
Its calculated density is 6.22 Mg/m³. As for the space group: No. 123.



C | # PmY2Er

A relaxed PmY2Er crystal (PBE-GGA, Alexandria via LeMat-Bulk).

Lattice parameters (Å, degrees): 5.703 5.703 5.703 60.00 60.00 60.00
Element x y z (fractional)
Y1 0.250 0.250 0.250
Y2 0.750 0.750 0.750
Pm1 0.000 0.000 0.000
Er1 0.500 0.500 0.500

Computed properties:
Its calculated density is 6.21 Mg/m³. As for the space group: No. 225.



D | # PmY2Er

A relaxed PmY2Er crystal (PBE-GGA, Alexandria via LeMat-Bulk).

Lattice parameters (Å, degrees): 3.655 6.762 6.759 114.80 105.68 105.68
Element x y z (fractional)
Pm1 0.332 0.839 0.958
Y1 0.334 0.344 0.457
Y2 0.668 0.928 0.543
Er1 0.666 0.425 0.042

Computed properties:
Its calculated density is 6.20 Mg/m³. As for the space group: No. 8.



So which one wins? Going from most stable to least: D, A, B, C.



A | # Pm7YEr3

A relaxed Pm7YEr3 crystal (PBE-GGA, Alexandria via LeMat-Bulk).

Lattice parameters (Å, degrees): 5.871 8.535 8.535 83.00 110.22 110.22
Element x y z (fractional)
Pm1 0.210 0.208 0.208
Pm2 0.306 0.015 0.597
Pm3 0.694 0.403 0.985
Pm4 0.306 0.597 0.015
Pm5 0.000 0.500 0.500
Pm6 0.694 0.985 0.403
Pm7 0.790 0.792 0.792
Y1 0.500 0.500 0.500
Er1 0.000 0.795 0.205
Er2 0.500 0.000 0.000
Er3 0.000 0.205 0.795

Computed properties:
Its calculated density is 7.08 Mg/m³. As for the space group: No. 12.



B | # Pm7YEr3

A relaxed Pm7YEr3 crystal (PBE-GGA, Alexandria via LeMat-Bulk).

Lattice parameters (Å, degrees): 5.632 9.979 9.055 105.80 128.44 90.00
Element x y z (fractional)
Pm1 0.919 0.830 0.919
Pm2 0.852 0.708 0.352
Pm3 0.679 0.359 0.179
Pm4 0.321 0.641 0.821
Pm5 0.500 0.000 0.500
Pm6 0.148 0.292 0.648
Pm7 0.081 0.170 0.081
Y1 0.500 0.500 0.500
Er1 0.279 0.998 0.779
Er2 0.000 0.500 0.000
Er3 0.721 0.002 0.221

Computed properties:
Its calculated density is 7.13 Mg/m³. As for the space group: No. 10.



So which one wins? Going from most stable to least: B, A.



A | # PmY4Er2

A relaxed PmY4Er2 crystal (PBE-GGA, Alexandria via LeMat-Bulk).

Lattice parameters (Å, degrees): 3.546 9.443 8.526 121.47 78.00 112.03
Element x y z (fractional)
Pm1 0.000 0.000 0.000
Y1 0.410 0.706 0.590
Y2 0.810 0.169 0.720
Y3 0.590 0.294 0.410
Y4 0.190 0.831 0.280
Er1 0.360 0.430 0.141
Er2 0.640 0.570 0.859

Computed properties:
Its calculated density is 6.14 Mg/m³. As for the space group: No. 12.



B | # PmY4Er2

A relaxed PmY4Er2 crystal (PBE-GGA, Alexandria via LeMat-Bulk).

Lattice parameters (Å, degrees): 6.045 6.626 11.715 90.00 106.03 90.00
Element x y z (fractional)
Pm1 0.174 0.750 0.135
Pm2 0.826 0.250 0.865
Y1 0.632 0.493 0.290
Y2 0.979 0.750 0.837
Y3 0.021 0.250 0.163
Y4 0.632 0.007 0.290
Y5 0.852 0.250 0.580
Y6 0.368 0.993 0.710
Y7 0.368 0.507 0.710
Y8 0.148 0.750 0.420
Er1 0.608 0.750 0.009
Er2 0.392 0.250 0.991
Er3 0.283 0.250 0.448
Er4 0.717 0.750 0.552

Computed properties:
Its calculated density is 6.15 Mg/m³. As for the space group: No. 11.



So which one wins? Going from most stable to least: A, B.



A | # PmY2Er7

A relaxed PmY2Er7 crystal (PBE-GGA, Alexandria via LeMat-Bulk).

Lattice parameters (Å, degrees): 5.210 9.619 9.619 126.96 90.00 90.00
Element x y z (fractional)
Pm1 0.000 0.000 0.000
Y1 0.500 0.703 0.297
Y2 0.500 0.297 0.703
Er1 0.000 0.804 0.196
Er2 0.000 0.196 0.804
Er3 0.500 0.070 0.287
Er4 0.500 0.930 0.713
Er5 0.500 0.287 0.070
Er6 0.500 0.713 0.930
Er7 0.500 0.500 0.500

Computed properties:
Its calculated density is 6.44 Mg/m³. As for the space group: No. 65.



B | # PmY2Er7

A relaxed PmY2Er7 crystal (PBE-GGA, Alexandria via LeMat-Bulk).

Lattice parameters (Å, degrees): 7.900 13.690 9.332 122.36 53.81 157.50
Element x y z (fractional)
Pm1 0.000 0.000 0.000
Y1 0.601 0.800 0.400
Y2 0.399 0.200 0.600
Er1 0.898 0.699 0.600
Er2 0.102 0.301 0.400
Er3 0.199 0.600 0.800
Er4 0.801 0.400 0.200
Er5 0.303 0.901 0.199
Er6 0.697 0.099 0.801
Er7 0.500 0.500 0.000

Computed properties:
Its calculated density is 7.96 Mg/m³. As for the space group: No. 2.



So which one wins? Going from most stable to least: B, A.



A | # PmY2Er4

A relaxed PmY2Er4 crystal (PBE-GGA, Alexandria via LeMat-Bulk).

Lattice parameters (Å, degrees): 3.512 9.403 8.499 121.62 78.10 111.88
Element x y z (fractional)
Pm1 0.000 0.000 0.000
Y1 0.360 0.430 0.141
Y2 0.640 0.570 0.859
Er1 0.411 0.707 0.589
Er2 0.808 0.163 0.713
Er3 0.589 0.293 0.411
Er4 0.192 0.837 0.287

Computed properties:
Its calculated density is 7.43 Mg/m³. As for the space group: No. 12.



B | # PmY2Er4

A relaxed PmY2Er4 crystal (PBE-GGA, Alexandria via LeMat-Bulk).

Lattice parameters (Å, degrees): 6.061 6.561 11.655 90.00 106.75 90.00
Element x y z (fractional)
Pm1 0.181 0.750 0.137
Pm2 0.819 0.250 0.863
Y1 0.615 0.750 0.010
Y2 0.385 0.250 0.990
Y3 0.289 0.250 0.448
Y4 0.711 0.750 0.552
Er1 0.639 0.492 0.291
Er2 0.983 0.750 0.837
Er3 0.017 0.250 0.163
Er4 0.639 0.008 0.291
Er5 0.858 0.250 0.579
Er6 0.361 0.992 0.709
Er7 0.361 0.508 0.709
Er8 0.142 0.750 0.421

Computed properties:
Its calculated density is 7.42 Mg/m³. As for the space group: No. 11.



So which one wins? Going from most stable to least: A, B.



A | # Pm2YEr7

A relaxed Pm2YEr7 crystal (PBE-GGA, Alexandria via LeMat-Bulk).

Lattice parameters (Å, degrees): 6.130 7.919 9.379 120.52 89.82 121.17
Element x y z (fractional)
Pm1 0.401 0.602 0.401
Pm2 0.599 0.398 0.599
Y1 0.000 0.000 0.000
Er1 0.101 0.901 0.601
Er2 0.899 0.099 0.399
Er3 0.300 0.700 0.801
Er4 0.700 0.300 0.199
Er5 0.199 0.798 0.198
Er6 0.801 0.202 0.802
Er7 0.500 0.500 0.000

Computed properties:
Its calculated density is 8.19 Mg/m³. As for the space group: No. 2.



B | # Pm2YEr7

A relaxed Pm2YEr7 crystal (PBE-GGA, Alexandria via LeMat-Bulk).

Lattice parameters (Å, degrees): 3.509 14.683 14.683 154.64 90.00 90.00
Element x y z (fractional)
Pm1 0.500 0.709 0.291
Pm2 0.500 0.291 0.709
Y1 0.000 0.000 0.000
Er1 0.000 0.816 0.184
Er2 0.000 0.184 0.816
Er3 0.500 0.148 0.344
Er4 0.500 0.852 0.656
Er5 0.500 0.344 0.148
Er6 0.500 0.656 0.852
Er7 0.500 0.500 0.500

Computed properties:
Its calculated density is 7.94 Mg/m³. As for the space group: No. 65.



So which one wins? Going from most stable to least: A, B.